Record 1
! Sm5H, relaxed, DFT PBE; values from VASP
&SYSTEM
  ibrav = 0, nat = 6, ntyp = 2
/
ATOMIC_SPECIES
Sm 150.36 Sm.upf
H 1.01 H.upf
CELL_PARAMETERS angstrom
6.4743 0.0000 0.0000
-3.2371 5.6069 0.0000
0.0000 0.0000 6.0004
ATOMIC_POSITIONS crystal
Sm 0.5000 0.0000 0.5000
Sm 0.0000 0.5000 0.5000
Sm 0.3333 0.6667 0.0000
Sm 0.5000 0.5000 0.5000
Sm 0.6667 0.3333 0.0000
H 0.0000 0.0000 0.0000
! total moment = 0.93 Bohr magnetons per cell
! uncorrected energy = -3.507 eV per atom
! crystal system = hexagonal



Record 2
! Sm2H5, relaxed, DFT PBE; values from VASP
&SYSTEM
  ibrav = 0, nat = 14, ntyp = 2
/
ATOMIC_SPECIES
H 1.01 H.upf
Sm 150.36 Sm.upf
CELL_PARAMETERS angstrom
-5.8815 -2.6052 1.0311
-3.7793 4.2321 3.2013
3.6401 0.5857 -5.3712
ATOMIC_POSITIONS crystal
H 0.7428 0.7428 0.0000
Sm 0.7403 0.2403 0.5000
H 0.1186 0.5995 0.9804
H 0.4928 0.9928 0.5000
H 0.6191 0.1382 0.0196
Sm 0.4975 0.4975 0.0000
Sm 0.9903 0.9903 0.0000
H 0.3495 0.3686 0.4804
H 0.1186 0.1382 0.5191
Sm 0.2475 0.7475 0.5000
H 0.6191 0.5995 0.4809
H 0.3495 0.8691 0.9809
H 0.8882 0.8691 0.5196
H 0.8882 0.3686 0.0191
! total moment = 0.00 Bohr magnetons per cell
! uncorrected energy = -4.367 eV per atom
! crystal system = tetragonal



Record 3
! SmH, relaxed, DFT PBE; values from VASP
&SYSTEM
  ibrav = 0, nat = 2, ntyp = 2
/
ATOMIC_SPECIES
Sm 150.36 Sm.upf
H 1.01 H.upf
CELL_PARAMETERS angstrom
-1.1685 1.7358 3.1143
-2.3367 2.9251 -0.2470
-3.5652 -0.3475 1.1161
ATOMIC_POSITIONS crystal
Sm 0.2500 0.2500 0.2500
H 0.0000 0.0000 0.0000
! total moment = 0.11 Bohr magnetons per cell
! uncorrected energy = -4.388 eV per atom
! crystal system = cubic



Record 4
! SmH, relaxed, DFT PBE; values from VASP
&SYSTEM
  ibrav = 0, nat = 2, ntyp = 2
/
ATOMIC_SPECIES
Sm 150.36 Sm.upf
H 1.01 H.upf
CELL_PARAMETERS angstrom
0.0000 2.5212 2.5212
2.5212 0.0000 2.5212
2.5212 2.5212 0.0000
ATOMIC_POSITIONS crystal
Sm 0.5000 0.5000 0.5000
H 0.0000 0.0000 0.0000
! total moment = 0.00 Bohr magnetons per cell
! uncorrected energy = -4.431 eV per atom
! crystal system = cubic



Record 5
! Sm2H, relaxed, DFT PBE; values from VASP
&SYSTEM
  ibrav = 0, nat = 6, ntyp = 2
/
ATOMIC_SPECIES
Sm 150.36 Sm.upf
H 1.01 H.upf
CELL_PARAMETERS angstrom
0.0000 4.5207 4.5207
4.5207 0.0000 4.5207
4.5207 4.5207 0.0000
ATOMIC_POSITIONS crystal
Sm 0.6250 0.6250 0.1250
Sm 0.6250 0.1250 0.6250
Sm 0.6250 0.6250 0.6250
H 0.2500 0.2500 0.2500
H 0.0000 0.0000 0.0000
Sm 0.1250 0.6250 0.6250
! total moment = 1.05 Bohr magnetons per cell
! uncorrected energy = -2.983 eV per atom
! crystal system = cubic



Record 6
! SmH, relaxed, DFT PBE; values from VASP
&SYSTEM
  ibrav = 0, nat = 2, ntyp = 2
/
ATOMIC_SPECIES
H 1.01 H.upf
Sm 150.36 Sm.upf
CELL_PARAMETERS angstrom
3.3713 0.0000 0.0000
-1.6856 2.9196 0.0000
0.0000 0.0000 3.3113
ATOMIC_POSITIONS crystal
H 0.6667 0.3333 0.7500
Sm 0.3333 0.6667 0.2500
! total moment = 0.00 Bohr magnetons per cell
! uncorrected energy = -4.212 eV per atom
! crystal system = hexagonal



Record 7
! SmTaH4, relaxed, DFT PBE; values from VASP
&SYSTEM
  ibrav = 0, nat = 6, ntyp = 3
/
ATOMIC_SPECIES
Sm 150.36 Sm.upf
H 1.01 H.upf
Ta 180.95 Ta.upf
CELL_PARAMETERS angstrom
3.2952 0.0000 0.0000
0.0000 3.2952 0.0000
0.0000 0.0000 5.3176
ATOMIC_POSITIONS crystal
Sm 0.0000 0.0000 0.0000
H 0.0000 0.5000 0.2993
H 0.5000 0.0000 0.7007
H 0.5000 0.0000 0.2993
H 0.0000 0.5000 0.7007
Ta 0.5000 0.5000 0.5000
! total moment = 0.01 Bohr magnetons per cell
! uncorrected energy = -5.341 eV per atom
! crystal system = tetragonal



Record 8
! TbSmH4, relaxed, DFT PBE; values from VASP
&SYSTEM
  ibrav = 0, nat = 6, ntyp = 3
/
ATOMIC_SPECIES
H 1.01 H.upf
Sm 150.36 Sm.upf
Tb 158.93 Tb.upf
CELL_PARAMETERS angstrom
-2.0123 3.0353 -0.8062
-0.7593 -1.3994 -3.3731
-4.3130 -2.3433 1.9431
ATOMIC_POSITIONS crystal
H 0.0000 0.5000 0.2577
H 0.5000 0.0000 0.2577
Sm 0.0000 0.0000 0.0000
H 0.5000 0.0000 0.7423
Tb 0.5000 0.5000 0.5000
H 0.0000 0.5000 0.7423
! total moment = 0.00 Bohr magnetons per cell
! uncorrected energy = -4.481 eV per atom
! crystal system = tetragonal



Record 9
! SmTmH4, relaxed, DFT PBE; values from VASP
&SYSTEM
  ibrav = 0, nat = 6, ntyp = 3
/
ATOMIC_SPECIES
Sm 150.36 Sm.upf
H 1.01 H.upf
Tm 168.93 Tm.upf
CELL_PARAMETERS angstrom
3.6694 0.0000 0.0000
0.0000 3.6694 0.0000
0.0000 0.0000 5.2252
ATOMIC_POSITIONS crystal
Sm 0.0000 0.0000 0.0000
H 0.5000 0.0000 0.2658
Tm 0.5000 0.5000 0.5000
H 0.5000 0.0000 0.7342
H 0.0000 0.5000 0.2658
H 0.0000 0.5000 0.7342
! total moment = 0.00 Bohr magnetons per cell
! uncorrected energy = -4.454 eV per atom
! crystal system = tetragonal



Record 10
! Tb2SnH2, relaxed, DFT PBE; values from VASP
&SYSTEM
  ibrav = 0, nat = 5, ntyp = 3
/
ATOMIC_SPECIES
Tb 158.93 Tb.upf
H 1.01 H.upf
Sn 118.71 Sn.upf
CELL_PARAMETERS angstrom
-1.6326 -5.3558 -2.4016
1.3350 -3.8035 -4.5683
2.5359 -0.6393 3.0153
ATOMIC_POSITIONS crystal
Tb 0.3462 0.3462 0.3459
Tb 0.6538 0.6538 0.6541
H 0.2501 0.2501 0.7501
H 0.7499 0.7499 0.2499
Sn 0.0000 0.0000 0.0000
! total moment = 0.00 Bohr magnetons per cell
! uncorrected energy = -4.723 eV per atom
! crystal system = tetragonal



Record 11
! Tm2SnH2, relaxed, DFT PBE; values from VASP
&SYSTEM
  ibrav = 0, nat = 5, ntyp = 3
/
ATOMIC_SPECIES
Sn 118.71 Sn.upf
H 1.01 H.upf
Tm 168.93 Tm.upf
CELL_PARAMETERS angstrom
1.6956 3.2802 1.2744
-3.4629 1.2907 1.2654
1.7543 -4.5641 3.4382
ATOMIC_POSITIONS crystal
Sn 0.0000 0.0000 0.0000
H 0.2499 0.7501 0.5000
Tm 0.3451 0.3451 0.6903
H 0.7501 0.2499 0.5000
Tm 0.6549 0.6549 0.3097
! total moment = 0.00 Bohr magnetons per cell
! uncorrected energy = -4.629 eV per atom
! crystal system = orthorhombic



Record 12
! Sr2TcH6, relaxed, DFT PBE; values from VASP
&SYSTEM
  ibrav = 0, nat = 9, ntyp = 3
/
ATOMIC_SPECIES
H 1.01 H.upf
Sr 87.62 Sr.upf
Tc 98.00 Tc.upf
CELL_PARAMETERS angstrom
0.0000 3.8071 3.8071
3.8071 0.0000 3.8071
3.8071 3.8071 0.0000
ATOMIC_POSITIONS crystal
H 0.2347 0.7653 0.2347
Sr 0.2500 0.2500 0.2500
H 0.2347 0.7653 0.7653
H 0.7653 0.2347 0.7653
Sr 0.7500 0.7500 0.7500
H 0.7653 0.7653 0.2347
Tc 0.0000 0.0000 0.0000
H 0.2347 0.2347 0.7653
H 0.7653 0.2347 0.2347
! total moment = 1.00 Bohr magnetons per cell
! uncorrected energy = -4.182 eV per atom
! crystal system = cubic



Record 13
! Sr2TcH6, relaxed, DFT PBE; values from VASP
&SYSTEM
  ibrav = 0, nat = 9, ntyp = 3
/
ATOMIC_SPECIES
H 1.01 H.upf
Tc 98.00 Tc.upf
Sr 87.62 Sr.upf
CELL_PARAMETERS angstrom
5.2684 0.0000 0.0000
-2.6342 4.5626 0.0000
0.0000 0.0000 4.2707
ATOMIC_POSITIONS crystal
H 0.8307 0.1693 0.7834
H 0.6614 0.8307 0.2166
Tc 0.0000 0.0000 0.0000
Sr 0.6667 0.3333 0.2737
Sr 0.3333 0.6667 0.7263
H 0.3386 0.1693 0.7834
H 0.8307 0.6614 0.7834
H 0.1693 0.3386 0.2166
H 0.1693 0.8307 0.2166
! total moment = 1.00 Bohr magnetons per cell
! uncorrected energy = -4.124 eV per atom
! crystal system = trigonal



Record 14
! SrZnH3, relaxed, DFT PBE; values from VASP
&SYSTEM
  ibrav = 0, nat = 10, ntyp = 3
/
ATOMIC_SPECIES
H 1.01 H.upf
Zn 65.41 Zn.upf
Sr 87.62 Sr.upf
CELL_PARAMETERS angstrom
0.0000 3.8802 3.8802
3.8802 0.0000 3.8802
3.8802 3.8802 0.0000
ATOMIC_POSITIONS crystal
H 0.2509 0.2509 0.7491
Zn 0.0000 0.0000 0.0000
Zn 0.5000 0.5000 0.5000
H 0.2509 0.7491 0.7491
H 0.2509 0.7491 0.2509
Sr 0.7500 0.7500 0.7500
H 0.7491 0.7491 0.2509
H 0.7491 0.2509 0.7491
Sr 0.2500 0.2500 0.2500
H 0.7491 0.2509 0.2509
! uncorrected energy = -2.750 eV per atom
! crystal system = cubic



Record 15
! TaH5, relaxed, DFT PBE; values from VASP
&SYSTEM
  ibrav = 0, nat = 12, ntyp = 2
/
ATOMIC_SPECIES
H 1.01 H.upf
Ta 180.95 Ta.upf
CELL_PARAMETERS angstrom
-2.5522 0.0919 1.8698
-1.6561 -1.0189 -4.8291
2.6823 -4.3042 1.2219
ATOMIC_POSITIONS crystal
H 0.4006 0.5167 0.7996
H 0.9317 0.2384 0.0992
H 0.5994 0.4833 0.2004
H 0.0922 0.2011 0.4836
H 0.5680 0.9010 0.7609
H 0.4320 0.0990 0.2391
H 0.9078 0.7989 0.5164
Ta 0.7506 0.8423 0.1581
H 0.0683 0.7616 0.9008
Ta 0.2494 0.1577 0.8419
H 0.7502 0.2824 0.7184
H 0.2498 0.7176 0.2816
! total moment = 0.00 Bohr magnetons per cell
! uncorrected energy = -4.771 eV per atom
! crystal system = triclinic



Record 16
! TaH, relaxed, DFT PBE; values from VASP
&SYSTEM
  ibrav = 0, nat = 4, ntyp = 2
/
ATOMIC_SPECIES
Ta 180.95 Ta.upf
H 1.01 H.upf
CELL_PARAMETERS angstrom
2.9473 0.0000 0.0000
-1.4736 2.5524 0.0000
0.0000 0.0000 5.3430
ATOMIC_POSITIONS crystal
Ta 0.6667 0.3333 0.2500
Ta 0.3333 0.6667 0.7500
H 0.0000 0.0000 0.5000
H 0.0000 0.0000 0.0000
! total moment = 0.00 Bohr magnetons per cell
! uncorrected energy = -7.683 eV per atom
! crystal system = hexagonal



Record 17
! TaH, relaxed, DFT PBE; values from VASP
&SYSTEM
  ibrav = 0, nat = 2, ntyp = 2
/
ATOMIC_SPECIES
H 1.01 H.upf
Ta 180.95 Ta.upf
CELL_PARAMETERS angstrom
1.5789 0.9116 2.3146
-1.5789 0.9116 2.3146
0.0000 -1.8232 2.3146
ATOMIC_POSITIONS crystal
H 0.5000 0.5000 0.5000
Ta 0.0000 0.0000 0.0000
! total moment = 0.00 Bohr magnetons per cell
! uncorrected energy = -7.674 eV per atom
! crystal system = trigonal



Record 18
! TaH2, relaxed, DFT PBE; values from VASP
&SYSTEM
  ibrav = 0, nat = 6, ntyp = 2
/
ATOMIC_SPECIES
H 1.01 H.upf
Ta 180.95 Ta.upf
CELL_PARAMETERS angstrom
-1.7755 -1.7028 -2.0609
2.5477 -1.3444 1.4147
-2.9866 -1.5791 3.8778
ATOMIC_POSITIONS crystal
H 0.6667 0.3333 0.4486
H 0.0000 0.0000 0.7190
Ta 0.3333 0.6667 0.3141
H 0.3333 0.6667 0.9486
Ta 0.6667 0.3333 0.8141
H 0.0000 0.0000 0.2190
! total moment = 0.00 Bohr magnetons per cell
! uncorrected energy = -6.326 eV per atom
! crystal system = hexagonal



Record 19
! TaH, relaxed, DFT PBE; values from VASP
&SYSTEM
  ibrav = 0, nat = 2, ntyp = 2
/
ATOMIC_SPECIES
H 1.01 H.upf
Ta 180.95 Ta.upf
CELL_PARAMETERS angstrom
0.0000 2.2027 2.2027
2.2027 0.0000 2.2027
2.2027 2.2027 0.0000
ATOMIC_POSITIONS crystal
H 0.0000 0.0000 0.0000
Ta 0.2500 0.2500 0.2500
! total moment = 0.00 Bohr magnetons per cell
! uncorrected energy = -7.650 eV per atom
! crystal system = cubic



Record 20
! TaH, relaxed, DFT PBE; values from VASP
&SYSTEM
  ibrav = 0, nat = 2, ntyp = 2
/
ATOMIC_SPECIES
Ta 180.95 Ta.upf
H 1.01 H.upf
CELL_PARAMETERS angstrom
-2.3714 -1.5955 -0.7603
2.4932 -0.2133 -1.5764
0.8667 -2.0752 1.6515
ATOMIC_POSITIONS crystal
Ta 0.3333 0.6667 0.2500
H 0.6667 0.3333 0.7500
! total moment = 0.00 Bohr magnetons per cell
! uncorrected energy = -7.271 eV per atom
! crystal system = hexagonal